No. 1
Material: KCd2Cu
Method: DFT, PBE-GGA
State: relaxed

Lattice parameters (Å, degrees): 4.761 4.761 6.791 110.84 110.84 59.18
Sites, in units of the cell vectors:
K 0.000 0.000 0.000
Cd 0.528 0.528 0.570
Cd 0.813 0.813 0.429
Cu 0.186 0.186 0.543

Output
- Magnetization: 0.0 μB per formula unit
- E_tot: -0.063 hartree per atom
- N(E_F): 2.28 states/eV/f.u.
- Offset from the most stable computed form: 5 meV/atom
- ΔE_f: 36 meV per atom

---

No. 2
Material: SrRuO2
Method: DFT, PBE-GGA
State: relaxed

Lattice parameters (Å, degrees): 4.166 4.166 4.166 60.00 60.00 60.00
Sites, in units of the cell vectors:
Sr 0.000 0.000 0.000
Ru 0.500 0.500 0.500
O 0.250 0.250 0.250
O 0.750 0.750 0.750

Output
- Magnetization: 0.0 μB per formula unit
- E_tot: -0.219 hartree per atom
- Raw formation energy: -0.74 eV per atom
- N(E_F): 3.20 states/eV/f.u.
- Offset from the most stable computed form: 572 meV/atom

---

No. 3
Material: SrTa2Re
Method: DFT, PBE-GGA
State: relaxed

Lattice parameters (Å, degrees): 3.116 4.914 5.147 90.00 90.00 90.00
Sites, in units of the cell vectors:
Sr 0.000 0.000 0.000
Ta 0.000 0.500 0.500
Ta 0.500 0.500 0.000
Re 0.500 0.000 0.500

Output
- Magnetization: 0.0 μB per formula unit
- E_tot: -0.309 hartree per atom
- N(E_F): 4.60 states/eV/f.u.
- Offset from the most stable computed form: 577 meV/atom
- ΔE_f: 1054 meV per atom

---

no.,density (Mg/m³)
1,4.508
2,7.170
3,13.394